<1>
# BTe2PbN GGA-PBE relaxed
data_BTe2PbN
_space_group_name_H-M_alt 'P 4/m m m'
_space_group_IT_number 123
_space_group_name_Hall '-P 4 2'
_cell_length_a 6.6964
_cell_length_b 6.6964
_cell_length_c 2.7877
_cell_angle_alpha 90.00
_cell_angle_beta 90.00
_cell_angle_gamma 90.00
loop_
_atom_site_label
_atom_site_fract_x
_atom_site_fract_y
_atom_site_fract_z
B1 0.0000 0.0000 0.0000
Te1 0.0000 0.5000 0.0000
Pb1 0.5000 0.5000 0.5000
N1 0.0000 0.0000 0.5000
# Calculated density (kg/m³): 6472



<2>
# BTe2PbN GGA-PBE relaxed
data_BTe2PbN
_space_group_name_H-M_alt 'P 4/m m m'
_space_group_IT_number 123
_space_group_name_Hall '-P 4 2'
_cell_length_a 5.9542
_cell_length_b 5.9542
_cell_length_c 4.3680
_cell_angle_alpha 90.00
_cell_angle_beta 90.00
_cell_angle_gamma 90.00
loop_
_atom_site_label
_atom_site_fract_x
_atom_site_fract_y
_atom_site_fract_z
B1 0.0000 0.0000 0.0000
Te1 0.0000 0.5000 0.5000
Pb1 0.5000 0.5000 0.5000
N1 0.5000 0.5000 0.0000
# Calculated density (kg/m³): 5224



So which one is most stable? That would be <1>, about 1798 meV per atom below the next structure.



<1>
# BPd2N GGA-PBE relaxed
data_BPd2N
_space_group_name_H-M_alt 'F m -3 m'
_space_group_IT_number 225
_space_group_name_Hall '-F 4 2 3'
_cell_length_a 5.5711
_cell_length_b 5.5711
_cell_length_c 5.5711
_cell_angle_alpha 90.00
_cell_angle_beta 90.00
_cell_angle_gamma 90.00
loop_
_atom_site_label
_atom_site_fract_x
_atom_site_fract_y
_atom_site_fract_z
B1 0.0000 0.0000 0.0000
Pd1 0.2500 0.2500 0.2500
N1 0.0000 0.0000 0.5000
# Calculated density (kg/m³): 9130



<2>
# BPd2N GGA-PBE relaxed
data_BPd2N
_space_group_name_H-M_alt 'I -4 2 d'
_space_group_IT_number 122
_space_group_name_Hall 'I -4 2bw'
_cell_length_a 4.6971
_cell_length_b 4.6971
_cell_length_c 9.7947
_cell_angle_alpha 90.00
_cell_angle_beta 90.00
_cell_angle_gamma 90.00
loop_
_atom_site_label
_atom_site_fract_x
_atom_site_fract_y
_atom_site_fract_z
B1 0.0000 0.0000 0.0000
Pd1 0.2481 0.2500 0.1250
N1 0.0000 0.0000 0.5000
# Calculated density (kg/m³): 7305



So which one is most stable? That would be <2>, about 400 meV per atom below the next structure.